DFT (PBEsol) results for crystalline Cd2HgSb at its relaxed geometry.

The structure in extended XYZ format:
```
8
Lattice="4.402 0.000 0.000 0.000 4.702 0.000 0.000 0.000 8.905" Properties=species:S:1:pos:R:3 pbc="T T T"
Cd 0.000 0.000 0.000
Cd 0.000 2.351 2.051
Cd 2.201 0.000 2.051
Cd 2.201 2.351 0.000
Hg 0.000 2.351 6.800
Hg 2.201 0.000 6.800
Sb 0.000 0.000 4.362
Sb 2.201 2.351 4.362
```

Calculated values
ΔE_f (raw) in kJ/mol of formula units: 31
D(E_F) in states/eV/atom: 0.4067